1.
PrHoNi: relaxed, GGA-PBE.

Fermi-level density of states	6.7	states/eV/cell
SG	P-1 (2)
calculated density	7.93	Mg/m³
total moment	0.000	μB/atom
volume	152.7	Å³ per cell
ΔE to the lowest computed polymorph	0.00	kJ/mol of atoms

Unit cell a=3.7324 b=6.5469 c=6.9339 alpha=97.28 beta=105.54 gamma=106.55
Sites, in units of the cell vectors:
Pr: 0.2062 0.2947 0.1166
Pr: 0.7938 0.7053 0.8834
Ho: 0.0969 0.7683 0.4259
Ho: 0.9031 0.2317 0.5741
Ni: 0.4373 0.0650 0.8102
Ni: 0.5627 0.9350 0.1898



2.
PrHoNi: relaxed, GGA-PBE.

Fermi-level density of states	7.2	states/eV/cell
SG	C2/m (12)
calculated density	7.93	Mg/m³
total moment	0.000	μB/atom
volume	152.7	Å³ per cell
ΔE to the lowest computed polymorph	7.05	kJ/mol of atoms

Unit cell a=6.7927 b=6.7927 c=7.0333 alpha=106.70 beta=106.70 gamma=29.52
Sites, in units of the cell vectors:
Pr: 0.1292 0.1292 0.0625
Pr: 0.8708 0.8708 0.9375
Ho: 0.1301 0.1301 0.5617
Ho: 0.8699 0.8699 0.4383
Ni: 0.4934 0.4934 0.2846
Ni: 0.5066 0.5066 0.7154